Entry 1:
Na2Pd2AuO6 GGA-PBE relaxed; energy = -0.176 Ha/atom; V = 13.46 Å³ per atom; total moment = 0.0 μB/f.u.; energy relative to the elements, uncorrected = -592.2 meV per atom
1.0
2.699 -5.051 0.000
2.699 5.051 0.000
-1.731 0.000 5.428
Na Pd Au O
2 2 1 6
Direct
0.160 0.840 0.000
0.840 0.160 0.000
0.335 0.665 0.500
0.665 0.335 0.500
0.000 0.000 0.500
0.040 0.423 0.699
0.271 0.271 0.315
0.423 0.040 0.699
0.577 0.960 0.301
0.729 0.729 0.685
0.960 0.577 0.301

***

Entry 2:
Er4GeOs GGA-PBE relaxed; energy = -0.225 Ha/atom; formation energy from the elements = -0.447 eV/atom; V = 24.61 Å³ per atom; total moment = 0.0 μB/f.u.
1.0
5.844 0.000 0.000
0.000 6.409 0.000
-2.806 0.000 7.884
Er Ge Os
8 2 2
Direct
0.169 0.250 0.090
0.267 0.501 0.758
0.267 0.999 0.758
0.299 0.750 0.375
0.701 0.250 0.625
0.733 0.001 0.242
0.733 0.499 0.242
0.831 0.750 0.910
0.171 0.250 0.444
0.829 0.750 0.556
0.342 0.750 0.055
0.658 0.250 0.945

***

Entry 3:
Nd2DyEr7 GGA-PBE relaxed; energy = -0.164 Ha/atom; formation energy from the elements = 0.158 eV/atom; V = 32.44 Å³ per atom; total moment = 0.0 μB/f.u.
1.0
3.226 -14.348 0.000
3.226 14.348 0.000
0.000 0.000 3.504
Nd Dy Er
2 1 7
Direct
0.208 0.792 0.000
0.792 0.208 0.000
0.500 0.500 0.500
0.000 0.000 0.000
0.156 0.352 0.000
0.316 0.684 0.500
0.352 0.156 0.000
0.648 0.844 0.000
0.684 0.316 0.500
0.844 0.648 0.000

***

Entry 4:
Ca2BiP2 GGA-PBE relaxed; energy = -0.156 Ha/atom; formation energy from the elements = -0.496 eV/atom; V = 25.87 Å³ per atom; total moment = 0.0 μB/f.u.; energy relative to the lowest polymorph listed for this composition = 122.6 kJ/mol of formula units
1.0
-2.553 2.553 4.962
2.553 -2.553 4.962
2.553 2.553 -4.962
Ca Bi P
2 1 2
Direct
0.250 0.750 0.500
0.750 0.250 0.500
0.000 0.000 0.000
0.390 0.390 0.000
0.610 0.610 0.000

***

Entry 5:
CeNb2Co GGA-PBE relaxed; energy = -0.290 Ha/atom; formation energy from the elements = 0.390 eV/atom; V = 18.07 Å³ per atom; total moment = 0.5 μB/f.u.
1.0
1.451 0.838 9.907
-1.451 0.838 9.907
0.000 -1.676 9.907
Ce Nb Co
1 2 1
Direct
0.000 0.000 0.000
0.097 0.097 0.097
0.903 0.903 0.903
0.500 0.500 0.500

***

Entry 6:
Ba5Ga5Pb GGA-PBE relaxed; energy = -0.113 Ha/atom; formation energy from the elements = -0.476 eV/atom; V = 32.22 Å³ per atom; total moment = 0.0 μB/f.u.
1.0
6.088 0.000 0.000
-3.044 5.272 0.000
0.000 0.000 11.041
Ba Ga Pb
5 5 1
Direct
0.000 0.000 0.000
0.333 0.667 0.204
0.333 0.667 0.796
0.667 0.333 0.332
0.667 0.333 0.668
0.000 0.000 0.325
0.000 0.000 0.675
0.181 0.361 0.500
0.181 0.819 0.500
0.639 0.819 0.500
0.667 0.333 0.000

***

Entry 7:
Ca4Br GGA-PBE relaxed; energy = -0.088 Ha/atom; V = 37.04 Å³ per atom; total moment = 0.0 μB/f.u.; energy relative to the lowest polymorph listed for this composition = 0.0 kJ/mol of formula units; energy relative to the elements, uncorrected = -451.9 meV per atom
1.0
-4.920 4.920 1.913
4.920 -4.920 1.913
4.920 4.920 -1.913
Ca Br
4 1
Direct
0.075 0.727 0.802
0.273 0.075 0.348
0.727 0.925 0.652
0.925 0.273 0.198
0.500 0.500 0.000

***

Entry 8:
Tb3DyRh8 GGA-PBE relaxed; energy = -0.264 Ha/atom; formation energy from the elements = -0.744 eV/atom; V = 17.98 Å³ per atom; total moment = 0.0 μB/f.u.
1.0
2.672 1.543 8.722
-2.672 1.543 8.722
0.000 -3.085 8.722
Tb Dy Rh
3 1 8
Direct
0.000 0.000 0.000
0.125 0.125 0.125
0.500 0.500 0.500
0.625 0.625 0.625
0.062 0.563 0.563
0.063 0.063 0.563
0.063 0.563 0.063
0.313 0.313 0.313
0.563 0.062 0.563
0.563 0.063 0.063
0.563 0.563 0.062
0.813 0.813 0.813

***

Entry 9:
YPuTi2 GGA-PBE relaxed; energy = -0.330 Ha/atom; formation energy from the elements = 0.180 eV/atom; V = 22.20 Å³ per atom; total moment = 4.8 μB/f.u.
1.0
3.582 0.000 0.000
0.000 3.582 0.000
0.000 0.000 6.920
Y Pu Ti
1 1 2
Direct
0.000 0.000 0.000
0.000 0.000 0.500
0.500 0.500 0.299
0.500 0.500 0.701

***

Entry 10:
ZrTeAs2 GGA-PBE relaxed; energy = -0.199 Ha/atom; V = 23.18 Å³ per atom; total moment = 0.0 μB/f.u.; energy relative to the elements, uncorrected = -163.1 meV per atom
1.0
2.919 -4.298 0.000
2.919 4.298 0.000
-1.947 0.000 3.695
Zr Te As
1 1 2
Direct
0.000 0.000 0.000
0.500 0.500 0.000
0.000 0.500 0.500
0.500 0.000 0.500

***

Entry 11:
Li2CuSi GGA-PBE relaxed; energy = -0.127 Ha/atom; V = 13.36 Å³ per atom; total moment = 0.0 μB/f.u.; energy relative to the elements, uncorrected = -108.7 meV per atom
1.0
2.489 -3.962 0.000
2.489 3.962 0.000
-0.101 0.000 2.710
Li Cu Si
2 1 1
Direct
0.000 0.500 0.000
0.500 0.000 0.000
0.000 0.000 0.500
0.500 0.500 0.500

***

Entry 12:
PaGaCuOs GGA-PBE relaxed; energy = -0.259 Ha/atom; formation energy from the elements = -0.089 eV/atom; V = 17.71 Å³ per atom; total moment = 0.0 μB/f.u.
1.0
0.000 3.284 3.284
3.284 0.000 3.284
3.284 3.284 0.000
Pa Ga Cu Os
1 1 1 1
Direct
0.000 0.000 0.000
0.500 0.500 0.500
0.750 0.750 0.750
0.250 0.250 0.250

***

Entry 13:
UGeRh4 GGA-PBE relaxed; energy = -0.295 Ha/atom; formation energy from the elements = -0.479 eV/atom; V = 17.66 Å³ per atom; total moment = 0.0 μB/f.u.; energy relative to the lowest polymorph listed for this composition = 38.6 kJ/mol of formula units
1.0
7.297 -2.803 0.000
7.297 2.803 0.000
-2.143 0.000 5.181
U Ge Rh
2 2 8
Direct
0.250 0.750 0.750
0.750 0.250 0.250
0.000 0.500 0.000
0.500 0.000 0.500
0.133 0.135 0.136
0.135 0.133 0.636
0.365 0.367 0.366
0.367 0.365 0.866
0.633 0.635 0.134
0.635 0.633 0.634
0.865 0.867 0.364
0.867 0.865 0.864

***

Entry 14:
Pm6PrEr2Tm3 GGA-PBE relaxed; energy = -0.170 Ha/atom; formation energy from the elements = 0.017 eV/atom; V = 32.61 Å³ per atom; total moment = 0.0 μB/f.u.
1.0
3.116 -5.396 0.000
3.116 5.396 0.000
-2.072 0.000 11.638
Pm Pr Er Tm
6 1 2 3
Direct
0.081 0.416 0.247
0.250 0.250 0.753
0.416 0.081 0.247
0.584 0.919 0.753
0.750 0.750 0.247
0.919 0.584 0.753
0.500 0.500 0.500
0.167 0.833 0.500
0.833 0.167 0.500
0.000 0.000 0.000
0.333 0.667 0.000
0.667 0.333 0.000

***

Entry 15:
AgMoW GGA-PBE relaxed; energy = -0.308 Ha/atom; formation energy from the elements = 0.500 eV/atom; V = 16.46 Å³ per atom; total moment = 0.0 μB/f.u.; energy relative to the lowest polymorph listed for this composition = 30.5 kJ/mol of formula units
1.0
-1.340 1.340 6.871
1.340 -1.340 6.871
1.340 1.340 -6.871
Ag Mo W
1 1 1
Direct
0.000 0.000 0.000
0.332 0.332 0.000
0.667 0.667 0.000

***

Entry 16:
Gd2ScCo GGA-PBE relaxed; energy = -0.379 Ha/atom; formation energy from the elements = 0.080 eV/atom; V = 25.70 Å³ per atom; total moment = 15.1 μB/f.u.; energy relative to the lowest polymorph listed for this composition = 28.5 kJ/mol of formula units
1.0
1.813 1.047 9.022
-1.813 1.047 9.022
0.000 -2.094 9.022
Gd Sc Co
2 1 1
Direct
0.228 0.228 0.228
0.772 0.772 0.772
0.000 0.000 0.000
0.500 0.500 0.500

***

Entry 17:
MgScCuPb2 GGA-PBE relaxed; energy = -0.113 Ha/atom; formation energy from the elements = 0.816 eV/atom; V = 30.38 Å³ per atom; total moment = 0.0 μB/f.u.
1.0
5.319 0.000 0.000
0.000 5.319 0.000
0.000 0.000 5.370
Mg Sc Cu Pb
1 1 1 2
Direct
0.000 0.000 0.000
0.000 0.000 0.500
0.500 0.500 0.500
0.000 0.500 0.000
0.500 0.000 0.000

***

Entry 18:
EuLuMg GGA-PBE relaxed; energy = -0.200 Ha/atom; formation energy from the elements = 0.024 eV/atom; V = 30.90 Å³ per atom; total moment = 7.7 μB/f.u.; energy relative to the lowest polymorph listed for this composition = 0.0 kJ/mol of formula units
1.0
-1.865 1.865 6.660
1.865 -1.865 6.660
1.865 1.865 -6.660
Eu Lu Mg
1 1 1
Direct
0.000 0.000 0.000
0.307 0.307 0.000
0.668 0.668 0.000

***

Entry 19:
HfZr2Ag2 GGA-PBE relaxed; energy = -0.232 Ha/atom; formation energy from the elements = 0.248 eV/atom; V = 21.31 Å³ per atom; total moment = 0.0 μB/f.u.; energy relative to the lowest polymorph listed for this composition = 112.4 kJ/mol of formula units
1.0
8.200 0.000 0.000
0.000 8.200 0.000
0.000 0.000 3.169
Hf Zr Ag
2 4 4
Direct
0.000 0.000 0.000
0.500 0.500 0.000
0.166 0.334 0.000
0.334 0.834 0.000
0.666 0.166 0.000
0.834 0.666 0.000
0.130 0.630 0.500
0.370 0.130 0.500
0.630 0.870 0.500
0.870 0.370 0.500

***

Entry 20:
SrZr2Ag2 GGA-PBE relaxed; energy = -0.172 Ha/atom; formation energy from the elements = 0.207 eV/atom; V = 23.98 Å³ per atom; total moment = 0.0 μB/f.u.; energy relative to the lowest polymorph listed for this composition = 28.5 kJ/mol of formula units
1.0
8.696 0.000 0.000
0.000 8.696 0.000
0.000 0.000 3.171
Sr Zr Ag
2 4 4
Direct
0.000 0.000 0.000
0.500 0.500 0.000
0.162 0.338 0.500
0.338 0.838 0.500
0.662 0.162 0.500
0.838 0.662 0.500
0.129 0.629 0.000
0.371 0.129 0.000
0.629 0.871 0.000
0.871 0.371 0.000